First-principles (PBE) data for a relaxed structure of Sn5HgSb4, as listed in Alexandria via LeMat-Bulk.

Results
**Uncorrected formation energy**: 0.026 eV per atom
**E_tot**: -3.6544 eV/atom
**Crystal system**: tetragonal
**Offset from the most stable computed form**: 0 meV/atom

Geometry as POSCAR:
```
Sn5HgSb4
1.0
4.324 0.000 -0.609
-0.086 4.323 -0.609
0.014 0.014 15.744
Sn Hg Sb
5 1 4
Cartesian
0.435 0.444 3.090
2.119 2.162 -0.609
3.817 3.893 11.435
1.280 1.306 9.085
2.972 3.031 5.440
0.000 0.000 0.000
1.709 1.744 12.129
3.398 3.466 8.463
0.854 0.872 6.062
2.543 2.594 2.396
```